Entry 1:
# RbVTe2O6 (PBE+U, relaxed)
# Electronic total energy: -232.63 eV per cell
data_RbVTe2O6
_chemical_formula_sum 'Rb4 V4 Te8 O24'
_symmetry_space_group_name_H-M 'C 1 2/c 1'
_symmetry_Int_Tables_number 15
_cell_length_a 9.782
_cell_length_b 12.549
_cell_length_c 8.024
_cell_angle_alpha 90.00
_cell_angle_beta 120.74
_cell_angle_gamma 90.00
loop_
_symmetry_equiv_pos_as_xyz
'x,y,z'
'-x,-y,-z'
'-x,y,-z+1/2'
'x,-y,z+1/2'
'x+1/2,y+1/2,z'
'-x+1/2,-y+1/2,-z'
'-x+1/2,y+1/2,-z+1/2'
'x+1/2,-y+1/2,z+1/2'
loop_
_atom_site_label
_atom_site_type_symbol
_atom_site_fract_x
_atom_site_fract_y
_atom_site_fract_z
_atom_site_occupancy
Rb1 Rb 0.000 0.094 0.250 1
V1 V 0.000 0.211 0.750 1
Te1 Te 0.140 0.409 0.158 1
O1 O 0.101 0.296 0.980 1
O2 O 0.130 0.115 0.698 1
O3 O 0.151 0.469 0.529 1

Entry 2:
# RbV2TeO8 (PBE+U, relaxed)
# Electronic total energy: -77.93 eV per cell
data_RbV2TeO8
_chemical_formula_sum 'Rb1 V2 Te1 O8'
_symmetry_space_group_name_H-M 'P -3'
_symmetry_Int_Tables_number 147
_cell_length_a 5.4407
_cell_length_b 5.4407
_cell_length_c 8.2917
_cell_angle_alpha 90.00
_cell_angle_beta 90.00
_cell_angle_gamma 120.00
loop_
_symmetry_equiv_pos_as_xyz
'x,y,z'
'-x,-y,-z'
'-y,x-y,z'
'y,-x+y,-z'
'-x+y,-x,z'
'x-y,x,-z'
loop_
_atom_site_label
_atom_site_type_symbol
_atom_site_fract_x
_atom_site_fract_y
_atom_site_fract_z
_atom_site_occupancy
Rb1 Rb 0.0000 0.0000 0.0000 1
V1 V 0.3333 0.6667 0.7105 1
Te1 Te 0.0000 0.0000 0.5000 1
O1 O 0.0594 0.3247 0.6448 1
O2 O 0.3333 0.6667 0.9092 1

Entry 3:
# RbVTeO2 (PBE+U, relaxed)
# Electronic total energy: -22.51 eV per cell
data_RbVTeO2
_chemical_formula_sum 'Rb1 V1 Te1 O2'
_symmetry_space_group_name_H-M 'P 4/m m m'
_symmetry_Int_Tables_number 123
_symmetry_space_group_name_Hall '-P 4 2'
_cell_length_a 4.082
_cell_length_b 4.082
_cell_length_c 9.121
_cell_angle_alpha 90.00
_cell_angle_beta 90.00
_cell_angle_gamma 90.00
loop_
_atom_site_label
_atom_site_type_symbol
_atom_site_fract_x
_atom_site_fract_y
_atom_site_fract_z
_atom_site_occupancy
Rb1 Rb 0.000 0.000 0.000 1
V1 V 0.000 0.000 0.500 1
Te1 Te 0.500 0.500 0.000 1
O1 O 0.000 0.500 0.500 1

Entry 4:
# RbVTe2O8 (PBE+U, relaxed)
# Electronic total energy: -137.51 eV per cell
data_RbVTe2O8
_chemical_formula_sum 'Rb2 V2 Te4 O16'
_symmetry_space_group_name_H-M 'C 1 2/m 1'
_symmetry_Int_Tables_number 12
_cell_length_a 9.253
_cell_length_b 5.660
_cell_length_c 8.918
_cell_angle_alpha 90.00
_cell_angle_beta 107.11
_cell_angle_gamma 90.00
loop_
_symmetry_equiv_pos_as_xyz
'x,y,z'
'-x,-y,-z'
'-x,y,-z'
'x,-y,z'
'x+1/2,y+1/2,z'
'-x+1/2,-y+1/2,-z'
'-x+1/2,y+1/2,-z'
'x+1/2,-y+1/2,z'
loop_
_atom_site_label
_atom_site_type_symbol
_atom_site_fract_x
_atom_site_fract_y
_atom_site_fract_z
_atom_site_occupancy
Rb1 Rb 0.000 0.000 0.000 1
V1 V 0.000 0.500 0.500 1
Te1 Te 0.201 0.000 0.682 1
O1 O 0.066 0.251 0.668 1
O2 O 0.170 0.500 0.119 1
O3 O 0.217 0.500 0.484 1

Entry 5:
# RbTeWO6 (PBE+U, relaxed)
# Electronic total energy: -55.61 eV per cell
data_RbTeWO6
_chemical_formula_sum 'Rb1 Te1 W1 O6'
_symmetry_space_group_name_H-M 'P 3 1 2'
_symmetry_Int_Tables_number 149
_cell_length_a 5.4024
_cell_length_b 5.4024
_cell_length_c 6.3339
_cell_angle_alpha 90.00
_cell_angle_beta 90.00
_cell_angle_gamma 120.00
loop_
_symmetry_equiv_pos_as_xyz
'x,y,z'
'-y,x-y,z'
'-x+y,-x,z'
'-y,-x,-z'
'-x+y,y,-z'
'x,x-y,-z'
loop_
_atom_site_label
_atom_site_type_symbol
_atom_site_fract_x
_atom_site_fract_y
_atom_site_fract_z
_atom_site_occupancy
Rb1 Rb 0.0000 0.0000 0.0000 1
Te1 Te 0.3333 0.6667 0.5000 1
W1 W 0.6667 0.3333 0.5000 1
O1 O 0.0062 0.4049 0.3227 1

Entry 6:
# Rb2TeW3O12 (PBE+U, relaxed)
# Electronic total energy: -240.98 eV per cell
data_Rb2TeW3O12
_chemical_formula_sum 'Rb4 Te2 W6 O24'
_symmetry_space_group_name_H-M 'P 63 m c'
_symmetry_Int_Tables_number 186
_symmetry_space_group_name_Hall 'P 6c -2c'
_cell_length_a 7.4198
_cell_length_b 7.4198
_cell_length_c 12.4759
_cell_angle_alpha 90.00
_cell_angle_beta 90.00
_cell_angle_gamma 120.00
loop_
_atom_site_label
_atom_site_type_symbol
_atom_site_fract_x
_atom_site_fract_y
_atom_site_fract_z
_atom_site_occupancy
Rb1 Rb 0.3333 0.6667 0.0000 1
Rb2 Rb 0.3333 0.6667 0.3826 1
Te1 Te 0.0000 0.0000 0.4330 1
W1 W 0.1689 0.3377 0.6725 1
O1 O 0.0885 0.5442 0.6347 1
O2 O 0.1240 0.2480 0.1826 1
O3 O 0.1313 0.2625 0.5058 1
O4 O 0.1941 0.3883 0.8135 1